GGA-PBE CaZr2S4, optimized geometry; formation energy (no corrections) = -1.689 eV per atom; SG = No. 63
1.0
1.874 -6.049 0.000
1.874 6.049 0.000
0.000 0.000 12.972
Ca Zr S
2 4 8
direct
0.117 0.883 0.750
0.883 0.117 0.250
0.373 0.627 0.562
0.373 0.627 0.938
0.627 0.373 0.062
0.627 0.373 0.438
0.000 0.000 0.000
0.000 0.000 0.500
0.272 0.728 0.117
0.272 0.728 0.383
0.446 0.554 0.750
0.554 0.446 0.250
0.728 0.272 0.617
0.728 0.272 0.883


GGA-PBE RbBa2LiCo, optimized geometry; ΔE to the lowest computed polymorph = 0.000 eV/atom; SG = No. 123; E_form = 393 meV/atom
1.0
5.937 0.000 0.000
0.000 5.937 0.000
0.000 0.000 5.884
Rb Ba Li Co
1 2 1 1
direct
0.000 0.000 0.000
0.000 0.500 0.500
0.500 0.000 0.500
0.500 0.500 0.000
0.500 0.500 0.500


GGA-PBE AcNd5Dy2Tm, optimized geometry; SG = No. 36; E_form = 142 meV/atom
1.0
2.784 -12.261 0.000
2.784 12.261 0.000
0.000 0.000 9.490
Ac Nd Dy Tm
2 10 4 2
direct
0.102 0.898 0.500
0.898 0.102 0.000
0.024 0.976 0.173
0.107 0.893 0.895
0.191 0.809 0.205
0.242 0.758 0.565
0.490 0.510 0.391
0.510 0.490 0.891
0.758 0.242 0.065
0.809 0.191 0.705
0.893 0.107 0.395
0.976 0.024 0.673
0.326 0.674 0.249
0.388 0.612 0.645
0.612 0.388 0.145
0.674 0.326 0.749
0.263 0.737 0.892
0.737 0.263 0.392


GGA-PBE Ce2H4I3, optimized geometry; SG = No. 12
1.0
5.281 -1.961 0.000
5.281 1.961 0.000
-1.357 0.000 8.472
Ce H I
2 4 3
direct
0.194 0.194 0.297
0.806 0.806 0.703
0.238 0.238 0.565
0.377 0.377 0.791
0.623 0.623 0.209
0.762 0.762 0.435
0.119 0.119 0.872
0.500 0.500 0.500
0.881 0.881 0.128


GGA-PBE BaSeN2, optimized geometry; formation energy (no corrections) = -0.782 eV per atom; SG = No. 1
1.0
5.344 0.000 0.000
-2.652 4.661 0.000
-0.817 -1.993 7.007
Ba Se N
1 1 2
direct
0.000 0.000 0.000
0.337 0.669 0.010
0.013 0.005 0.425
0.995 0.984 0.572


GGA-PBE GaPHIrPtS, optimized geometry; ΔE to the lowest computed polymorph = 0.117 eV/atom; SG = No. 1
1.0
3.665 0.000 0.000
1.015 5.206 0.000
0.846 2.535 5.050
Ga P H Ir Pt S
1 1 1 1 1 1
direct
0.000 0.000 0.000
0.891 0.498 0.891
0.342 0.839 0.380
0.366 0.783 0.697
0.573 0.620 0.224
0.785 0.141 0.552


GGA-PBE TmNi4Os, optimized geometry; SG = No. 216; E_form = -102 meV/atom
1.0
0.000 3.426 3.426
3.426 0.000 3.426
3.426 3.426 0.000
Tm Ni Os
1 4 1
direct
0.000 0.000 0.000
0.376 0.376 0.376
0.376 0.376 0.873
0.376 0.873 0.376
0.873 0.376 0.376
0.750 0.750 0.750


GGA-PBE Pm2Y3Ho, optimized geometry; SG = No. 12; E_form = 82 meV/atom
1.0
8.493 -2.785 0.000
8.493 2.785 0.000
-0.389 0.000 8.421
Pm Y Ho
4 6 2
direct
0.094 0.094 0.088
0.394 0.394 0.164
0.606 0.606 0.836
0.906 0.906 0.912
0.221 0.221 0.409
0.248 0.248 0.847
0.416 0.416 0.609
0.584 0.584 0.391
0.752 0.752 0.153
0.779 0.779 0.591
0.058 0.058 0.654
0.942 0.942 0.346


GGA-PBE TbSm6Er12, optimized geometry; ΔE to the lowest computed polymorph = 0.095 eV/atom; SG = No. 166; E_form = 218 meV/atom
1.0
6.570 3.793 4.184
-6.570 3.793 4.184
0.000 -7.586 4.184
Tb Sm Er
1 6 12
direct
0.000 0.000 0.000
0.098 0.098 0.656
0.098 0.656 0.098
0.344 0.902 0.902
0.656 0.098 0.098
0.902 0.344 0.902
0.902 0.902 0.344
0.082 0.355 0.355
0.243 0.500 0.757
0.243 0.757 0.500
0.355 0.082 0.355
0.355 0.355 0.082
0.500 0.243 0.757
0.500 0.757 0.243
0.645 0.645 0.918
0.645 0.918 0.645
0.757 0.243 0.500
0.757 0.500 0.243
0.918 0.645 0.645


GGA-PBE Mg2AlTe, optimized geometry; ΔE to the lowest computed polymorph = 0.145 eV/atom; formation energy (no corrections) = 0.005 eV per atom; SG = No. 6
1.0
3.045 0.000 0.000
0.000 5.624 0.000
-0.009 0.000 5.640
Mg Al Te
2 1 1
direct
0.000 0.000 0.000
0.004 0.500 0.502
0.468 0.500 0.002
0.697 0.000 0.500


GGA-PBE Pm2LuAl, optimized geometry; ΔE to the lowest computed polymorph = 0.055 eV/atom; SG = No. 225; E_form = -82 meV/atom
1.0
7.636 0.000 0.000
0.000 7.636 0.000
0.000 0.000 7.636
Pm Lu Al
8 4 4
direct
0.250 0.250 0.250
0.250 0.250 0.750
0.250 0.750 0.250
0.250 0.750 0.750
0.750 0.250 0.250
0.750 0.250 0.750
0.750 0.750 0.250
0.750 0.750 0.750
0.000 0.000 0.000
0.000 0.500 0.500
0.500 0.000 0.500
0.500 0.500 0.000
0.000 0.000 0.500
0.000 0.500 0.000
0.500 0.000 0.000
0.500 0.500 0.500


GGA-PBE CdFe2Au, optimized geometry; SG = No. 216; E_form = 266 meV/atom
1.0
6.308 0.000 0.000
0.000 6.308 0.000
0.000 0.000 6.308
Cd Fe Au
4 8 4
direct
0.000 0.000 0.000
0.000 0.500 0.500
0.500 0.000 0.500
0.500 0.500 0.000
0.000 0.000 0.500
0.000 0.500 0.000
0.250 0.250 0.750
0.250 0.750 0.250
0.500 0.000 0.000
0.500 0.500 0.500
0.750 0.250 0.250
0.750 0.750 0.750
0.250 0.250 0.250
0.250 0.750 0.750
0.750 0.250 0.750
0.750 0.750 0.250


The E results, record by record, are as follows: -94.9 -11.9 -80.7 -36.4 -25.2 -32.1 -39.4 -66.0 -83.6 -10.1 -72.4 -80.2 eV/cell.